## one
# PBE-GGA AgIrPb, relaxed
# Total magnetization ... 0.00 μB/atom
# Density ... 14.3 g cm⁻³
# DOS at the Fermi energy ... 0.35 states/eV per atom
data_AgIrPb
_chemical_formula_sum 'Ag1 Ir1 Pb1'
_cell_length_a 4.6579
_cell_length_b 4.6579
_cell_length_c 3.1369
_cell_angle_alpha 90.00
_cell_angle_beta 90.00
_cell_angle_gamma 120.00
_symmetry_space_group_name_H-M 'P 3 m 1'
_symmetry_Int_Tables_number 156
loop_
_symmetry_equiv_pos_as_xyz
'x,y,z'
'-y,x-y,z'
'-x+y,-x,z'
'-y,-x,z'
'-x+y,y,z'
'x,x-y,z'
loop_
_atom_site_label
_atom_site_type_symbol
_atom_site_fract_x
_atom_site_fract_y
_atom_site_fract_z
Ag1 Ag 0.0000 0.0000 0.0000
Ir1 Ir 0.6667 0.3333 0.5319
Pb1 Pb 0.3333 0.6667 0.4623

---

## two
# PBE-GGA AgIrPb, relaxed
# Total magnetization ... 0.00 μB/atom
# Density ... 13.9 g cm⁻³
# DOS at the Fermi energy ... 0.79 states/eV per atom
data_AgIrPb
_chemical_formula_sum 'Ag4 Ir4 Pb4'
_cell_length_a 3.313
_cell_length_b 5.062
_cell_length_c 14.468
_cell_angle_alpha 90.00
_cell_angle_beta 90.00
_cell_angle_gamma 90.00
_symmetry_space_group_name_H-M 'F m m 2'
_symmetry_Int_Tables_number 42
_symmetry_space_group_name_Hall 'F 2 -2'
loop_
_atom_site_label
_atom_site_type_symbol
_atom_site_fract_x
_atom_site_fract_y
_atom_site_fract_z
Ag1 Ag 0.000 0.000 0.000
Ir1 Ir 0.000 0.000 0.653
Pb1 Pb 0.000 0.000 0.310

---

Relative energies with respect to the most stable structure, expressed in kJ/mol of atoms: one 0.0; two 15.5.

---

## one
# PBE-GGA AgIr2Pd, relaxed
# Total magnetization ... 0.00 μB/atom
# Density ... 16.0 g cm⁻³
# DOS at the Fermi energy ... 2.28 states/eV per atom
data_AgIr2Pd
_chemical_formula_sum 'Ag4 Ir8 Pd4'
_cell_length_a 6.287
_cell_length_b 6.287
_cell_length_c 6.287
_cell_angle_alpha 90.00
_cell_angle_beta 90.00
_cell_angle_gamma 90.00
_symmetry_space_group_name_H-M 'F m -3 m'
_symmetry_Int_Tables_number 225
_symmetry_space_group_name_Hall '-F 4 2 3'
loop_
_atom_site_label
_atom_site_type_symbol
_atom_site_fract_x
_atom_site_fract_y
_atom_site_fract_z
Ag1 Ag 0.000 0.000 0.000
Ir1 Ir 0.250 0.250 0.250
Pd1 Pd 0.000 0.000 0.500

---

## two
# PBE-GGA AgIr2Pd, relaxed
# Total magnetization ... 0.00 μB/atom
# Density ... 14.3 g cm⁻³
# DOS at the Fermi energy ... 1.69 states/eV per atom
data_AgIr2Pd
_chemical_formula_sum 'Ag4 Ir8 Pd4'
_cell_length_a 7.344
_cell_length_b 7.344
_cell_length_c 5.152
_cell_angle_alpha 90.00
_cell_angle_beta 90.00
_cell_angle_gamma 90.00
_symmetry_space_group_name_H-M 'I -4 2 d'
_symmetry_Int_Tables_number 122
_symmetry_space_group_name_Hall 'I -4 2bw'
loop_
_atom_site_label
_atom_site_type_symbol
_atom_site_fract_x
_atom_site_fract_y
_atom_site_fract_z
Ag1 Ag 0.000 0.000 0.000
Ir1 Ir 0.221 0.750 0.625
Pd1 Pd 0.000 0.000 0.500

---

Relative energies with respect to the most stable structure, expressed in kJ/mol of atoms: one 0.0; two 27.9.